(1)
Below is a relaxed structure of CaPdF4, with properties calculated at the GGA-PBE level.

```
6
Lattice="-2.8714 2.8714 2.7950 2.8714 -2.8714 2.7950 2.8714 2.8714 -2.7950" Properties=species:S:1:pos:R:3 pbc="T T T"
Ca 0.0000 0.0000 0.0000
Pd 0.0000 2.8714 1.3975
F 1.3973 1.4543 1.4008
F -1.4171 1.4741 1.3942
F 1.4171 4.2687 1.3942
F -1.3973 4.2885 1.4008
```

Calculated values
M_tot ... 0.00 μB per formula unit
E_form (uncorrected) ... -2452 meV per atom
Mass density ... 4.01 g cm⁻³
Crystal system ... tetragonal
E above lowest polymorph ... 97 meV per atom



(2)
Below is a relaxed structure of InAsF2, with properties calculated at the GGA-PBE level.

```
8
Lattice="-3.6603 3.6603 2.7705 3.6603 -3.6603 2.7705 3.6603 3.6603 -2.7705" Properties=species:S:1:pos:R:3 pbc="T T T"
In 0.0000 0.0000 0.0000
In 0.0000 3.6603 1.3852
As 3.6603 0.0000 1.3852
As 0.0000 0.0000 2.7705
F 5.4904 0.9882 -0.6926
F 0.9882 1.8301 0.6926
F -1.8301 2.6721 2.0779
F 2.6721 1.8301 3.4631
```

Calculated values
M_tot ... 0.00 μB per formula unit
E_form (uncorrected) ... -1046 meV per atom
Mass density ... 5.09 g cm⁻³
Crystal system ... tetragonal
E above lowest polymorph ... 225 meV per atom



(3)
Below is a relaxed structure of MgGeO2F, with properties calculated at the GGA-PBE level.

```
5
Lattice="3.8386 0.0000 0.0000 0.0000 3.8386 0.0000 0.0000 0.0000 3.9733" Properties=species:S:1:pos:R:3 pbc="T T T"
Mg 0.0000 0.0000 0.0000
Ge 1.9193 1.9193 1.9867
O 0.0000 1.9193 1.9867
O 1.9193 0.0000 1.9867
F 1.9193 1.9193 0.0000
```

Calculated values
M_tot ... 0.00 μB per formula unit
E_form (uncorrected) ... -1454 meV per atom
Mass density ... 4.20 g cm⁻³
Crystal system ... tetragonal



Which of these has the highest E_form (uncorrected)?
InAsF2